No. 1
Compound: LiZn2Fe2
Source: Alexandria via LeMat-Bulk
Functional: PBE-GGA
Structure: relaxed

Results
Formation enthalpy at 0 K ... 30 kJ/mol of formula units
Crystal system ... tetragonal

Lattice parameters (Å, degrees): 7.407 7.407 2.564 90.00 90.00 90.00
Sites, in units of the cell vectors:
Li: 0.000 0.000 0.000
Li: 0.500 0.500 0.000
Zn: 0.184 0.316 0.500
Zn: 0.316 0.816 0.500
Zn: 0.684 0.184 0.500
Zn: 0.816 0.684 0.500
Fe: 0.111 0.611 0.000
Fe: 0.389 0.111 0.000
Fe: 0.611 0.889 0.000
Fe: 0.889 0.389 0.000

No. 2
Compound: AlAg3Ir
Source: Alexandria via LeMat-Bulk
Functional: PBE-GGA
Structure: relaxed

Results
Formation enthalpy at 0 K ... 572 kJ/mol of formula units
Crystal system ... cubic

Lattice parameters (Å, degrees): 5.069 5.069 5.069 90.00 90.00 90.00
Sites, in units of the cell vectors:
Al: 0.000 0.000 0.000
Ag: 0.000 0.500 0.500
Ag: 0.500 0.000 0.500
Ag: 0.500 0.500 0.000
Ir: 0.500 0.500 0.500

No. 3
Compound: Sr4BeRh
Source: Alexandria via LeMat-Bulk
Functional: PBE-GGA
Structure: relaxed

Results
Formation enthalpy at 0 K ... 646 kJ/mol of formula units
Crystal system ... cubic

Lattice parameters (Å, degrees): 6.600 6.600 6.600 60.00 60.00 60.00
Sites, in units of the cell vectors:
Sr: 0.376 0.376 0.376
Sr: 0.376 0.376 0.873
Sr: 0.376 0.873 0.376
Sr: 0.873 0.376 0.376
Be: 0.000 0.000 0.000
Rh: 0.750 0.750 0.750

No. 4
Compound: YMg2Cu3
Source: Alexandria via LeMat-Bulk
Functional: PBE-GGA
Structure: relaxed

Results
Formation enthalpy at 0 K ... -56 kJ/mol of formula units
Crystal system ... orthorhombic

Lattice parameters (Å, degrees): 6.541 6.541 5.638 90.00 90.00 69.07
Sites, in units of the cell vectors:
Y: 0.174 0.826 0.750
Y: 0.826 0.174 0.250
Mg: 0.288 0.288 0.000
Mg: 0.288 0.288 0.500
Mg: 0.712 0.712 0.000
Mg: 0.712 0.712 0.500
Cu: 0.056 0.702 0.250
Cu: 0.298 0.944 0.250
Cu: 0.448 0.552 0.250
Cu: 0.552 0.448 0.750
Cu: 0.702 0.056 0.750
Cu: 0.944 0.298 0.750

No. 5
Compound: LaMoBr2
Source: Alexandria via LeMat-Bulk
Functional: PBE-GGA
Structure: relaxed

Results
ΔE_f (raw) ... -0.28 eV/atom
Crystal system ... trigonal

Lattice parameters (Å, degrees): 10.020 10.020 10.020 21.36 21.36 21.36
Sites, in units of the cell vectors:
La: 0.000 0.000 0.000
Mo: 0.250 0.250 0.250
Br: 0.532 0.532 0.532
Br: 0.741 0.741 0.741

No. 6
Compound: LiLa2CuC
Source: Alexandria via LeMat-Bulk
Functional: PBE-GGA
Structure: relaxed

Results
Formation enthalpy at 0 K ... 30 kJ/mol of formula units
Crystal system ... tetragonal

Lattice parameters (Å, degrees): 5.189 5.189 4.120 90.00 90.00 90.00
Sites, in units of the cell vectors:
Li: 0.000 0.000 0.000
La: 0.000 0.500 0.500
La: 0.500 0.000 0.500
Cu: 0.500 0.500 0.000
C: 0.000 0.000 0.500

No. 7
Compound: Th6HgAs3S2
Source: Alexandria via LeMat-Bulk
Functional: PBE-GGA
Structure: relaxed

Results
ΔE_f (raw) ... -1.28 eV/atom
Crystal system ... monoclinic

Lattice parameters (Å, degrees): 9.448 9.448 8.527 103.14 103.14 25.58
Sites, in units of the cell vectors:
Th: 0.005 0.005 0.264
Th: 0.328 0.328 0.907
Th: 0.332 0.332 0.421
Th: 0.668 0.668 0.579
Th: 0.672 0.672 0.093
Th: 0.995 0.995 0.736
Hg: 0.500 0.500 0.000
As: 0.163 0.163 0.832
As: 0.500 0.500 0.500
As: 0.837 0.837 0.168
S: 0.169 0.169 0.335
S: 0.831 0.831 0.665

No. 8
Compound: LaGaP
Source: Alexandria via LeMat-Bulk
Functional: PBE-GGA
Structure: relaxed

Results
Formation enthalpy at 0 K ... -292 kJ/mol of formula units
Crystal system ... monoclinic

Lattice parameters (Å, degrees): 4.225 4.225 8.458 92.36 92.36 89.85
Sites, in units of the cell vectors:
La: 0.234 0.234 0.319
La: 0.766 0.766 0.681
Ga: 0.273 0.273 0.950
Ga: 0.727 0.727 0.050
P: 0.266 0.266 0.667
P: 0.734 0.734 0.333

| no. | E (eV/atom) |
| --- | --- |
| 1 | -4.21 |
| 2 | -3.05 |
| 3 | -1.85 |
| 4 | -3.75 |
| 5 | -5.05 |
| 6 | -4.95 |
| 7 | -6.87 |
| 8 | -5.46 |